[1]
Entry from Alexandria via LeMat-Bulk: a geometry-optimized SrCaPb structure (PBEsol).

magnetic moment = 0.0 μB/cell
ΔH_f (0 K) = -0.394 eV per atom
electronic total energy = -3.052 eV per atom

a b c (Å): 3.939 3.939 7.500
angles (deg): 105.22 105.22 90.00
Fractional coordinates of all 3 atoms:
Pb: 0.659 0.659 0.318
Ca: 0.032 0.032 0.065
Sr: 0.308 0.308 0.617

[2]
Entry from Alexandria via LeMat-Bulk: a geometry-optimized YCdCl2 structure (PBEsol).

magnetic moment = 0.0 μB/cell
relative energy among the computed polymorphs = 34 meV per atom
electronic total energy = -4.212 eV per atom
E_form (uncorrected) = -116.10 kJ per mole of atoms

a b c (Å): 3.295 4.534 7.438
angles (deg): 107.75 102.79 90.00
Fractional coordinates of all 4 atoms:
Cd: 0.815 0.315 0.630
Cl: 0.995 0.995 0.990
Cl: 0.173 0.673 0.346
Y: 0.517 0.517 0.034

[3]
Entry from Alexandria via LeMat-Bulk: a geometry-optimized KBa2Sr structure (PBEsol).

magnetic moment = 0.0 μB/cell
relative energy among the computed polymorphs = 32 meV per atom
ΔH_f (0 K) = 0.085 eV per atom
electronic total energy = -1.732 eV per atom

a b c (Å): 4.218 7.005 8.075
angles (deg): 90.00 98.47 90.00
Fractional coordinates of all 4 atoms:
K: 0.500 0.500 0.000
Ba: 0.264 0.000 0.257
Ba: 0.736 0.000 0.743
Sr: 0.000 0.500 0.500